[1]
Below is CsIn2BiPb after structural relaxation, with properties calculated at the PBE level.

Structure (POSCAR):
```
CsIn2BiPb
1.0
5.463 0.000 0.000
0.000 5.463 0.000
-2.731 -2.731 6.114
Cs Pb In Bi
1 1 2 1
Cartesian
0.000 0.000 0.000
0.000 2.731 3.057
2.731 2.731 1.475
0.000 0.000 4.639
2.731 0.000 3.057
```

Formation energy = -0.167 eV per atom

[2]
Below is Cs2InBiPt after structural relaxation, with properties calculated at the PBE level.

Structure (POSCAR):
```
Cs2InBiPt
1.0
6.710 0.000 0.000
0.000 5.203 0.000
0.000 0.000 6.710
Cs Pt Bi In
2 1 1 1
Cartesian
3.355 0.000 0.000
0.000 0.000 3.355
0.000 0.000 0.000
3.355 2.601 3.355
0.000 2.601 0.000
```

Formation energy = 0.028 eV per atom

[3]
Below is Cs2RbInBi2 after structural relaxation, with properties calculated at the PBE level.

Structure (POSCAR):
```
Cs2RbInBi2
1.0
7.938 0.000 0.000
0.000 8.895 0.000
-3.969 -4.448 8.513
Rb Cs Bi In
2 4 4 2
Cartesian
5.954 0.000 0.000
1.985 0.000 0.000
0.000 -1.898 5.587
0.000 2.550 2.926
3.969 1.898 5.587
3.969 6.346 2.926
0.000 1.694 6.912
3.969 -1.694 6.912
3.969 2.753 1.601
0.000 6.142 1.601
1.985 4.448 0.000
5.954 4.448 0.000
```

Formation energy = -0.379 eV per atom

[4]
Below is Cs4Rb2InBi2 after structural relaxation, with properties calculated at the PBE level.

Structure (POSCAR):
```
Cs4Rb2InBi2
1.0
-1.354 1.803 -5.594
5.334 -5.981 -6.414
-5.947 -7.291 -4.105
In Rb Cs Bi
1 2 4 2
Cartesian
-0.677 0.901 -2.797
-0.873 -7.884 -8.735
-1.094 -3.585 -7.378
2.890 -4.209 -5.282
1.743 -6.494 -12.182
-3.710 -4.975 -3.931
-4.857 -7.260 -10.831
-0.532 -2.051 -3.760
-1.436 -9.419 -12.353
```

Formation energy = -0.185 eV per atom

[5]
Below is Cs2Rb2InBi2 after structural relaxation, with properties calculated at the PBE level.

Structure (POSCAR):
```
Cs2Rb2InBi2
1.0
5.873 0.000 0.000
2.937 9.036 -1.787
2.937 0.226 7.117
Cs Rb In Bi
2 2 1 2
Cartesian
8.810 7.548 2.016
2.937 1.714 3.315
5.873 3.776 0.401
5.873 5.486 4.929
0.000 0.000 0.000
5.873 1.630 6.342
5.873 7.632 -1.011
```

Formation energy = -0.181 eV per atom

[6]
Below is CsRbInBi after structural relaxation, with properties calculated at the PBE level.

Structure (POSCAR):
```
CsRbInBi
1.0
6.203 0.000 0.000
3.102 5.372 0.000
3.102 1.791 5.065
Rb Cs In Bi
1 1 1 1
Cartesian
3.102 1.791 1.266
0.000 0.000 0.000
9.305 5.372 3.799
6.203 3.581 2.533
```

Formation energy = -0.164 eV per atom

[7]
Below is Cs2In2Bi2S after structural relaxation, with properties calculated at the PBE level.

Structure (POSCAR):
```
Cs2In2Bi2S
1.0
-2.557 -0.176 3.944
3.030 -5.622 4.503
7.194 2.738 4.774
S In Bi Cs
1 2 2 2
Cartesian
0.000 0.000 0.000
2.472 -3.073 4.255
5.196 0.012 8.966
5.375 -1.606 6.204
2.292 -1.454 7.017
0.742 0.436 3.306
6.926 -3.497 9.915
```

E_tot = -3.130 eV per atom

[8]
Below is CsIn2BiSb after structural relaxation, with properties calculated at the PBE level.

Structure (POSCAR):
```
CsIn2BiSb
1.0
5.137 0.000 0.000
0.000 8.628 -0.469
0.000 -2.390 9.819
Cs In Bi Sb
2 4 2 2
Cartesian
1.284 -1.216 7.665
3.853 7.455 1.684
3.853 2.244 8.342
3.853 3.455 3.469
1.284 2.783 5.880
1.284 3.994 1.007
1.284 5.129 3.879
3.853 1.109 5.471
1.284 3.781 8.727
3.853 2.457 0.622
```

E_tot = -3.119 eV per atom